# Al2FeSi3

A crystal of Al2FeSi3 relaxed with PBEsol (meta-GGA SCAN, Alexandria via LeMat-Bulk).

Values from the calculation:
- Formation energy from raw total energies: -118.7 meV/atom

Geometry as CIF:
```
data_Al2FeSi3
_space_group_name_H-M_alt 'P b c n'
_space_group_IT_number 60
_cell_length_a 5.971
_cell_length_b 5.962
_cell_length_c 9.206
_cell_angle_alpha 90.00
_cell_angle_beta 90.00
_cell_angle_gamma 90.00
loop_
_space_group_symop_operation_xyz
'x,y,z'
'-x,-y,-z'
'-x+1/2,-y+1/2,z+1/2'
'x+1/2,y+1/2,-z+1/2'
'x+1/2,-y+1/2,-z'
'-x+1/2,y+1/2,z'
'-x,y,-z+1/2'
'x,-y,z+1/2'
loop_
_atom_site_label
_atom_site_fract_x
_atom_site_fract_y
_atom_site_fract_z
_atom_site_occupancy
Al1 0.137 0.127 0.130 1
Fe1 0.000 0.483 0.250 1
Si1 0.000 0.500 0.000 1
Si2 0.163 0.176 0.849 1
```

# CdAuBr2

A crystal of CdAuBr2 relaxed with PBEsol (meta-GGA SCAN, Alexandria via LeMat-Bulk).

Values from the calculation:
- Formation energy from raw total energies: -247.2 meV/atom

Geometry as CIF:
```
data_CdAuBr2
_space_group_name_H-M_alt 'I m m 2'
_space_group_IT_number 44
_cell_length_a 3.575
_cell_length_b 6.939
_cell_length_c 8.877
_cell_angle_alpha 90.00
_cell_angle_beta 90.00
_cell_angle_gamma 90.00
loop_
_space_group_symop_operation_xyz
'x,y,z'
'-x,-y,z'
'-x,y,z'
'x,-y,z'
'x+1/2,y+1/2,z+1/2'
'-x+1/2,-y+1/2,z+1/2'
'-x+1/2,y+1/2,z+1/2'
'x+1/2,-y+1/2,z+1/2'
loop_
_atom_site_label
_atom_site_fract_x
_atom_site_fract_y
_atom_site_fract_z
_atom_site_occupancy
Cd1 0.000 0.000 0.000 1
Au1 0.000 0.500 0.273 1
Br1 0.000 0.000 0.560 1
Br2 0.000 0.500 0.718 1
```

- Look up the formation energy from raw total energies of the first one.
  -118.7 meV/atom

- Among the records above, which one has the lowest formation energy from raw total energies?
  CdAuBr2

- Which of these has the lowest formation energy from raw total energies?
  CdAuBr2

What did the second record say?
# CdAuBr2

A crystal of CdAuBr2 relaxed with PBEsol (meta-GGA SCAN, Alexandria via LeMat-Bulk).

Values from the calculation:
- Formation energy from raw total energies: -247.2 meV/atom

Geometry as CIF:
```
data_CdAuBr2
_space_group_name_H-M_alt 'I m m 2'
_space_group_IT_number 44
_cell_length_a 3.575
_cell_length_b 6.939
_cell_length_c 8.877
_cell_angle_alpha 90.00
_cell_angle_beta 90.00
_cell_angle_gamma 90.00
loop_
_space_group_symop_operation_xyz
'x,y,z'
'-x,-y,z'
'-x,y,z'
'x,-y,z'
'x+1/2,y+1/2,z+1/2'
'-x+1/2,-y+1/2,z+1/2'
'-x+1/2,y+1/2,z+1/2'
'x+1/2,-y+1/2,z+1/2'
loop_
_atom_site_label
_atom_site_fract_x
_atom_site_fract_y
_atom_site_fract_z
_atom_site_occupancy
Cd1 0.000 0.000 0.000 1
Au1 0.000 0.500 0.273 1
Br1 0.000 0.000 0.560 1
Br2 0.000 0.500 0.718 1
```